Material: Zn3SbCl
Method: DFT, PBE-GGA
State: optimized geometry

Lattice parameters (Å, degrees): 4.895 4.895 4.895 90.00 90.00 90.00
Fractional coordinates of all 5 atoms:
Zn 0.000 0.000 0.500
Zn 0.000 0.500 0.000
Zn 0.500 0.000 0.000
Sb 0.500 0.500 0.500
Cl 0.000 0.000 0.000

Results
symmetry: Pm-3m
volume: 117 Å³/cell
N(E_F): 0.199 states/eV per atom
uncorrected formation energy: 0.422 eV per atom
polymorph energy (0 for the lowest one): 1.60 eV per formula unit